This record from the Alexandria database describes a relaxed ZrBe2Se crystal. The functional is PBE.

```
ZrBe2Se
1.0
3.2919 0.0000 0.0000
0.0000 3.7856 0.0000
0.0000 0.0000 4.9181
Zr Be Se
1 2 1
direct
0.0000 0.0000 0.0000
0.5000 0.0000 0.5551
0.5000 0.5000 0.7581
0.5000 0.5000 0.2507
```

Magnetization: 0.00 μB/f.u.
Formation energy from raw total energies: -0.14 eV per atom